Pr2UNi3Rh12 | PBE | optimized geometry

Cell lengths 7.9473, 7.9473, 18.9495 Å; angles 90.00, 90.00, 120.00 degrees
Last column: nearest neighbours and their distance in Å.
Space group R-3m (No. 166, hexagonal axes)
Inequivalent atoms, fractional coordinates:
Pr (0.0000, 0.0000, 0.1086) (multiplicity 6)  6 Rh 2.74-2.88
U (0.0000, 0.0000, 0.5000) (multiplicity 3)  6 Rh 2.50
Ni (0.0000, 0.5000, 0.0000) (multiplicity 9)  6 Rh 2.36-2.41
Rh (0.0128, 0.5064, 0.3706) (multiplicity 18)  2 Ni 2.36
Rh (0.0132, 0.5066, 0.8728) (multiplicity 18)  1 Ni 2.41, 1 U 2.50

energy of formation: 0.283 eV per atom